Record 1
Below is crystalline Be2AgP at its relaxed geometry, with properties calculated at the GGA-PBE level.

Summary:
V = 52.7 Å³ per cell
Energy of formation from the pure elements = 153 kJ/mol of formula units

abc: 2.928 2.928 6.525
angles: 90.00 90.00 109.67
Fractional coordinates of all 4 atoms:
P 0.500 0.500 0.250
Ag 0.500 0.500 0.750
Be 0.000 0.000 0.044
Be 0.000 0.000 0.456


Record 2
Below is crystalline Ta2VCr at its relaxed geometry, with properties calculated at the GGA-PBE level.

Summary:
V = 62.3 Å³ per cell
Energy of formation from the pure elements = 41 kJ/mol of formula units

abc: 2.808 5.315 4.234
angles: 90.00 90.00 80.39
Fractional coordinates of all 4 atoms:
Ta 0.990 0.996 0.000
Ta 0.510 0.504 0.000
V 0.250 0.250 0.500
Cr 0.750 0.750 0.500


Record 3
Below is crystalline HfNb2B6 at its relaxed geometry, with properties calculated at the GGA-PBE level.

Summary:
V = 86.0 Å³ per cell
Energy of formation from the pure elements = -704 kJ/mol of formula units

abc: 3.389 5.414 5.414
angles: 120.00 90.00 90.00
Fractional coordinates of all 9 atoms:
Hf 0.000 0.000 0.000
Nb 0.000 0.333 0.667
Nb 0.000 0.667 0.333
B 0.500 0.334 0.334
B 0.500 0.666 0.666
B 0.500 0.000 0.666
B 0.500 0.666 0.000
B 0.500 0.334 0.000
B 0.500 0.000 0.334


Record 4
Below is crystalline AlRe3F at its relaxed geometry, with properties calculated at the GGA-PBE level.

Summary:
E_form (uncorrected) = 1.274 eV/atom
V = 74.6 Å³ per cell

abc: 4.209 4.209 4.209
angles: 90.00 90.00 90.00
Fractional coordinates of all 5 atoms:
Re 0.000 0.500 0.000
Re 0.000 0.000 0.500
Re 0.500 0.000 0.000
Al 0.500 0.500 0.500
F 0.000 0.000 0.000


Record 5
Below is crystalline ZnHgSb2Te at its relaxed geometry, with properties calculated at the GGA-PBE level.

Summary:
E_form (uncorrected) = 0.487 eV/atom
V = 151.3 Å³ per cell

abc: 5.294 5.294 5.400
angles: 90.00 90.00 90.00
Fractional coordinates of all 5 atoms:
Sb 0.000 0.500 0.000
Sb 0.500 0.000 0.000
Zn 0.000 0.000 0.000
Te 0.000 0.000 0.500
Hg 0.500 0.500 0.500


Record 6
Below is crystalline Li2CaUS4 at its relaxed geometry, with properties calculated at the GGA-PBE level.

Summary:
E_form (uncorrected) = -1.542 eV/atom
V = 168.8 Å³ per cell

abc: 5.475 5.475 6.834
angles: 113.62 113.62 90.00
Last column: magnetic moment on the atom in μB.
Fractional coordinates of all 8 atoms:
Li 0.250 0.750 0.500  0.00
Li 0.000 0.000 0.000  0.00
Ca 0.500 0.500 0.000  0.01
U 0.750 0.250 0.500  2.07
S 0.985 0.485 0.969  -0.04
S 0.515 0.015 0.031  -0.04
S 0.752 0.752 0.504  -0.05
S 0.248 0.248 0.496  -0.05